[1]
This record from Alexandria via LeMat-Bulk describes a relaxed TaH2S crystal. The functional is PBE-GGA.

The space group is Fm-3m (No. 225) and the conventional cell measures 5.328, 5.328 and 5.328 Å, with angles of 90.00, 90.00 and 90.00 degrees. Symmetry generates all atoms from Ta at (0.000, 0.000, 0.000), H at (0.250, 0.250, 0.250) and S at (0.000, 0.000, 0.500).

The density of states at the Fermi level is 2.96 states/eV/f.u. Its polymorph energy (0 for the lowest one) is 0.989 eV per atom.



[2]
This record from Alexandria via LeMat-Bulk describes a relaxed Li2SmPuO6 crystal. The functional is PBE-GGA.

The space group is R-3 (No. 148, hexagonal axes) and the conventional cell measures 5.3576, 5.3576 and 15.9881 Å, with angles of 90.00, 90.00 and 120.00 degrees. Symmetry generates all atoms from Li at (0.0000, 0.0000, 0.1980), Sm at (0.0000, 0.0000, 0.0000), Pu at (0.0000, 0.0000, 0.5000) and O at (0.0119, 0.3645, 0.2370).

The calculation puts the energy relative to the elements, uncorrected at -2.5639 eV/atom.



[3]
This record from Alexandria via LeMat-Bulk describes a relaxed LiYTh2N4 crystal. The functional is PBE-GGA.

The space group is Cmcm (No. 63) and the conventional cell measures 3.605, 11.679 and 11.832 Å, with angles of 90.00, 90.00 and 90.00 degrees. Symmetry generates all atoms from Li at (0.000, 0.163, 0.250), Y at (0.000, 0.100, 0.750), Th at (0.000, 0.369, 0.561), N at (0.000, 0.000, 0.000), N at (0.000, 0.262, 0.116) and N at (0.000, 0.463, 0.750).

The calculation puts the energy relative to the elements, uncorrected at -1.3002 eV/atom.